[1]
8
Lattice="7.0082 0.0000 0.0000 0.0000 4.7595 0.0000 -2.9072 0.0000 9.8422" Properties=species:S:1:pos:R:3 comment="Ba2SbPb (PBE, optimized geometry)" density_g_cm3=6.11 e_form_raw_kj_per_mol_atoms=-70 total_energy_ev_per_cell=-29.14 dos_at_fermi_per_ev_atom=0.912 pbc="T T T"
Ba 0.0957 1.1899 4.1843
Ba 1.8480 3.5696 0.6301
Ba 2.2530 1.1899 9.2121
Ba 4.0052 3.5696 5.6579
Sb -1.3481 1.1899 7.8083
Sb 5.4491 3.5696 2.0339
Pb 0.5775 3.5696 6.9284
Pb 3.5234 1.1899 2.9138



[2]
12
Lattice="6.7220 0.0000 0.0000 0.0000 6.4845 0.0000 -1.8100 0.0000 6.5213" Properties=species:S:1:pos:R:3 comment="PtPbSe (PBE, optimized geometry)" density_g_cm3=11.25 e_form_raw_kj_per_mol_atoms=-33 total_energy_ev_per_cell=-57.08 dos_at_fermi_per_ev_atom=0.262 pbc="T T T"
Pt 1.1171 0.0930 1.5777
Pt 0.2121 3.1493 4.8384
Pt 4.6999 3.3352 1.6829
Pt 3.7949 6.3915 4.9436
Pb 2.1250 4.1126 0.9114
Pb 1.2199 5.6142 4.1720
Pb 3.6920 0.8703 2.3493
Pb 2.7870 2.3719 5.6099
Se -0.5684 0.8469 5.6102
Se 0.3366 2.3953 2.3496
Se 4.5754 4.0892 4.1717
Se 5.4804 5.6376 0.9111



[3]
16
Lattice="7.1720 0.0000 0.0000 0.0000 4.0268 0.0000 0.0000 0.0000 12.6073" Properties=species:S:1:pos:R:3 comment="LiInS2 (PBE, optimized geometry)" density_g_cm3=3.39 e_form_raw_kj_per_mol_atoms=-75 total_energy_ev_per_cell=-64.09 dos_at_fermi_per_ev_atom=0.000 pbc="T T T"
Li 0.1873 1.0067 1.4359
Li 3.3987 3.0201 7.7396
Li 3.7733 1.0067 4.8677
Li 6.9846 3.0201 11.1714
In 0.7354 3.0201 4.7463
In 2.8506 1.0067 11.0499
In 4.3214 3.0201 1.5574
In 6.4366 1.0067 7.8611
S 0.3724 1.0067 10.0334
S 1.4872 1.0067 6.1484
S 2.0988 3.0201 12.4520
S 3.2136 3.0201 3.7298
S 3.9584 1.0067 8.8776
S 5.0732 1.0067 0.1553
S 5.6848 3.0201 6.4590
S 6.7995 3.0201 2.5739



[4]
30
Lattice="13.1002 -4.0561 0.0000 13.1002 4.0561 0.0000 -4.2225 0.0000 10.5904" Properties=species:S:1:pos:R:3 comment="Ba10In2N3 (PBE, optimized geometry)" density_g_cm3=4.85 e_form_raw_kj_per_mol_atoms=-30 total_energy_ev_per_cell=-108.77 dos_at_fermi_per_ev_atom=0.576 pbc="T T T"
Ba 4.4389 2.0281 5.2952
Ba -2.3072 0.0000 7.2469
Ba 9.1382 2.1493 0.2643
Ba 2.5144 0.0000 2.7185
Ba 8.1362 1.9542 4.9444
Ba 13.1002 2.2160 0.0000
Ba 2.8695 0.0000 8.1392
Ba 13.8417 1.9542 5.6461
Ba 12.8398 2.1493 10.3261
Ba 11.2795 0.0000 3.4495
Ba 4.4389 -2.0281 5.2952
Ba 10.6984 0.0000 7.1410
Ba 9.1382 -2.1493 0.2643
Ba 8.1362 -1.9542 4.9444
Ba 19.1084 0.0000 2.4513
Ba 13.1002 -2.2160 0.0000
Ba 13.8417 -1.9542 5.6461
Ba 19.4635 0.0000 7.8719
Ba 12.8398 -2.1493 10.3261
Ba 24.2852 0.0000 3.3435
In 6.2317 0.0000 2.2341
In 6.7523 0.0000 8.0498
In 15.2256 0.0000 2.5407
In 15.7462 0.0000 8.3564
N -2.1699 0.0000 10.1334
N 2.3855 0.0000 5.4963
N 10.9890 1.9321 5.2952
N 10.9890 -1.9321 5.2952
N 19.5924 0.0000 5.0941
N 24.1479 0.0000 0.4571



[5]
5
Lattice="-2.1413 2.9937 4.1960 2.1413 -2.9937 4.1960 2.1413 2.9937 -4.1960" Properties=species:S:1:pos:R:3 comment="LiTb2Si2 (PBE, optimized geometry)" density_g_cm3=5.88 e_form_raw_kj_per_mol_atoms=-58 total_energy_ev_per_cell=-25.04 dos_at_fermi_per_ev_atom=0.718 pbc="T T T"
Li 0.0000 0.0000 0.0000
Tb 2.1413 0.0000 2.4216
Tb 0.0000 2.9937 1.7744
Si 2.1413 1.7834 0.0000
Si 0.0000 1.2103 4.1960



[6]
8
Lattice="2.6078 1.5056 8.8868 -2.6078 1.5056 8.8868 0.0000 -3.0112 8.8868" Properties=species:S:1:pos:R:3 comment="SrY2MgHg4 (PBE, optimized geometry)" density_g_cm3=8.66 formation_energy_kj_per_mol_fu=-335 total_energy_ev_per_cell=-20.88 dos_at_fermi_per_ev_atom=0.575 pbc="T T T"
Sr 0.0000 0.0000 0.0000
Y 0.0000 0.0000 6.4677
Y 0.0000 0.0000 20.1928
Mg 0.0000 0.0000 13.3303
Hg 0.0000 0.0000 3.3535
Hg 0.0000 0.0000 10.2406
Hg 0.0000 0.0000 16.4199
Hg 0.0000 0.0000 23.3070



[7]
9
Lattice="7.1707 0.0000 0.0000 -3.5853 6.2100 0.0000 0.0000 0.0000 2.6820" Properties=species:S:1:pos:R:3 comment="TaCo2 (PBE, optimized geometry)" density_g_cm3=12.46 formation_energy_kj_per_mol_fu=18 total_energy_ev_per_cell=-77.62 dos_at_fermi_per_ev_atom=1.100 pbc="T T T"
Ta 0.0000 0.0000 0.0000
Ta 0.0000 4.1400 1.3410
Ta 3.5853 2.0700 1.3410
Co -1.1037 1.9117 1.3410
Co -2.3076 3.9969 0.0000
Co 2.2075 0.0000 1.3410
Co 1.2777 2.2131 0.0000
Co 4.6152 0.0000 0.0000
Co 2.4816 4.2982 1.3410



[8]
5
Lattice="4.4570 0.0000 0.0000 0.0000 4.4570 0.0000 0.0000 0.0000 4.0505" Properties=species:S:1:pos:R:3 comment="LiNb2CoHg (PBE, optimized geometry)" density_g_cm3=9.33 formation_energy_kj_per_mol_fu=454 total_energy_ev_per_cell=-24.76 dos_at_fermi_per_ev_atom=0.790 pbc="T T T"
Li 0.0000 0.0000 0.0000
Nb 0.0000 2.2285 0.0000
Nb 2.2285 0.0000 0.0000
Co 0.0000 0.0000 2.0252
Hg 2.2285 2.2285 2.0252



[9]
13
Lattice="2.5723 -6.2954 0.0000 2.5723 6.2954 0.0000 -2.3096 0.0000 6.8638" Properties=species:S:1:pos:R:3 comment="PrAl11Co (PBE, optimized geometry)" density_g_cm3=3.71 formation_energy_kj_per_mol_fu=-270 total_energy_ev_per_cell=-55.85 dos_at_fermi_per_ev_atom=0.339 pbc="T T T"
Pr 0.0000 0.0000 0.0000
Al -1.1548 0.0000 3.4319
Al 1.2861 3.1477 0.0000
Al 0.1429 2.1783 2.4879
Al 0.2443 1.3678 5.2419
Al 0.1429 -2.1783 2.4879
Al 0.2443 -1.3678 5.2419
Al 1.2861 -3.1477 0.0000
Al 2.5907 1.3678 1.6219
Al 2.6921 2.1783 4.3759
Al 2.5907 -1.3678 1.6219
Al 2.6921 -2.1783 4.3759
Co 1.4175 0.0000 3.4319



[10]
12
Lattice="3.5288 -6.1125 0.0000 3.5288 6.1125 0.0000 -2.3530 0.0000 7.6882" Properties=species:S:1:pos:R:3 comment="Rb3SmTm2S6 (PBE, optimized geometry)" density_g_cm3=4.69 e_form_raw_kj_per_mol_atoms=-178 total_energy_ev_per_cell=-63.46 dos_at_fermi_per_ev_atom=0.000 pbc="T T T"
Rb 0.0000 0.0000 0.0000
Rb 3.5288 2.0233 0.0000
Rb 3.5288 -2.0233 0.0000
Sm 2.3523 0.0000 3.8441
Tm 2.3523 4.0738 3.8441
Tm 2.3523 -4.0738 3.8441
S 1.1458 2.0897 2.3718
S -0.0605 0.0000 5.3140
S 1.1458 -2.0897 2.3718
S 3.5588 2.0897 5.3164
S 4.7651 0.0000 2.3742
S 3.5588 -2.0897 5.3164



[11]
11
Lattice="9.1237 -2.5361 0.0000 9.1237 2.5361 0.0000 -2.1405 0.0000 7.7334" Properties=species:S:1:pos:R:3 comment="Pm8Dy2Cd (PBE, optimized geometry)" density_g_cm3=7.41 formation_energy_kj_per_mol_fu=-21 total_energy_ev_per_cell=-48.34 dos_at_fermi_per_ev_atom=1.381 pbc="T T T"
Pm 0.3509 0.0000 1.7310
Pm 1.0276 0.0000 5.2596
Pm 4.5662 0.0000 4.5615
Pm 7.3570 0.0000 0.4242
Pm 8.7498 0.0000 7.3091
Pm 11.5406 0.0000 3.1719
Pm 15.0793 0.0000 2.4738
Pm 15.7559 0.0000 6.0023
Dy 3.8110 0.0000 1.0390
Dy 12.2959 0.0000 6.6944
Cd 8.0534 0.0000 3.8667



[12]
19
Lattice="-5.4279 5.4279 5.4279 5.4279 -5.4279 5.4279 5.4279 5.4279 -5.4279" Properties=species:S:1:pos:R:3 comment="Ac12SnIr6 (PBE, optimized geometry)" density_g_cm3=10.37 formation_energy_kj_per_mol_fu=-966 total_energy_ev_per_cell=-116.48 dos_at_fermi_per_ev_atom=0.555 pbc="T T T"
Ac 5.4279 -2.0296 3.4615
Ac 3.3982 1.9663 0.0000
Ac 7.4575 1.9663 0.0000
Ac 3.4615 5.4279 -2.0296
Ac 1.9663 0.0000 3.3982
Ac 0.0000 3.3982 1.9663
Ac 5.4279 2.0296 3.4615
Ac 3.4615 5.4279 2.0296
Ac 1.9663 0.0000 7.4575
Ac -2.0296 3.4615 5.4279
Ac 2.0296 3.4615 5.4279
Ac 0.0000 7.4575 1.9663
Sn 0.0000 0.0000 0.0000
Ir 5.4279 0.0000 1.3959
Ir 5.4279 4.0320 0.0000
Ir 1.3959 5.4279 0.0000
Ir 4.0320 0.0000 5.4279
Ir 0.0000 1.3959 5.4279
Ir 0.0000 5.4279 4.0320